1.
The following is a PBE calculation of an optimized crystal structure of CsPd2Pt2, from Alexandria.

- E above lowest polymorph (kJ/mol of formula units) = 0
- formation energy from the elements (eV/atom) = 0.276
- D(E_F) (states/eV/f.u.) = 3.3

Unit cell a=8.220 b=8.220 c=2.943 alpha=90.00 beta=90.00 gamma=90.00
Fractional positions:
Pt 0.383 0.883 0.000
Pt 0.117 0.383 0.000
Pt 0.617 0.117 0.000
Pt 0.883 0.617 0.000
Cs 0.500 0.500 0.000
Cs 0.000 0.000 0.000
Pd 0.320 0.180 0.500
Pd 0.820 0.320 0.500
Pd 0.180 0.680 0.500
Pd 0.680 0.820 0.500

2.
The following is a PBE calculation of an optimized crystal structure of Cs3PdPt, from Alexandria.

- formation energy from the elements (eV/atom) = 0.354
- D(E_F) (states/eV/f.u.) = 15.4

Unit cell a=6.461 b=6.461 c=6.461 alpha=90.00 beta=90.00 gamma=90.00
Fractional positions:
Cs 0.500 0.000 0.000
Cs 0.000 0.000 0.500
Cs 0.000 0.500 0.000
Pt 0.000 0.000 0.000
Pd 0.500 0.500 0.500

3.
The following is a PBE calculation of an optimized crystal structure of CsPdPt2, from Alexandria.

- E above lowest polymorph (kJ/mol of formula units) = 0
- formation energy from the elements (eV/atom) = 0.316
- D(E_F) (states/eV/f.u.) = 5.0

Unit cell a=5.210 b=5.210 c=9.604 alpha=74.26 beta=74.26 gamma=90.00
Fractional positions:
Pt 0.375 0.125 0.250
Pt 0.875 0.625 0.750
Pt 0.375 0.625 0.250
Pt 0.375 0.625 0.750
Cs 0.000 0.000 0.000
Cs 0.750 0.250 0.500
Pd 0.500 0.500 0.000
Pd 0.250 0.750 0.500

4.
The following is a PBE calculation of an optimized crystal structure of Cs2Pd2Pt, from Alexandria.

- E above lowest polymorph (kJ/mol of formula units) = 0
- formation energy from the elements (eV/atom) = -0.106
- D(E_F) (states/eV/f.u.) = 3.2

Unit cell a=4.611 b=4.611 c=11.278 alpha=78.20 beta=78.20 gamma=60.00
Fractional positions:
Pd 0.324 0.324 0.028
Pd 0.676 0.676 0.972
Pt 0.000 0.000 0.000
Cs 0.420 0.420 0.741
Cs 0.580 0.580 0.259

5.
The following is a PBE calculation of an optimized crystal structure of Cs2PdPt, from Alexandria.

- E above lowest polymorph (kJ/mol of formula units) = 209
- formation energy from the elements (eV/atom) = 0.516
- D(E_F) (states/eV/f.u.) = 0.0

Unit cell a=5.706 b=5.706 c=5.706 alpha=60.00 beta=60.00 gamma=60.00
Fractional positions:
Cs 0.750 0.750 0.750
Cs 0.250 0.250 0.250
Pd 0.000 0.000 0.000
Pt 0.500 0.500 0.500

6.
The following is a PBE calculation of an optimized crystal structure of CsPd2Pt, from Alexandria.

- E above lowest polymorph (kJ/mol of formula units) = 0
- formation energy from the elements (eV/atom) = 0.323
- D(E_F) (states/eV/f.u.) = 3.3

Unit cell a=5.363 b=5.363 c=9.433 alpha=73.49 beta=73.49 gamma=90.00
Fractional positions:
Cs 0.250 0.750 0.500
Cs 0.500 0.500 0.000
Pt 0.750 0.250 0.500
Pt 0.000 0.000 0.000
Pd 0.875 0.102 0.750
Pd 0.898 0.625 0.250
Pd 0.375 0.148 0.750
Pd 0.852 0.125 0.250

7.
The following is a PBE calculation of an optimized crystal structure of Cs3Pd4Pt, from Alexandria.

- formation energy from the elements (eV/atom) = 0.205
- D(E_F) (states/eV/f.u.) = 6.6

Unit cell a=6.395 b=6.083 c=13.075 alpha=90.00 beta=90.00 gamma=90.00
Fractional positions:
Pt 0.296 0.000 0.500
Pt 0.704 0.500 0.000
Pd 0.656 0.000 0.396
Pd 0.951 0.761 0.500
Pd 0.344 0.500 0.896
Pd 0.049 0.261 0.000
Pd 0.951 0.239 0.500
Pd 0.049 0.739 0.000
Pd 0.344 0.500 0.104
Pd 0.656 0.000 0.604
Cs 0.803 0.500 0.743
Cs 0.197 0.000 0.243
Cs 0.449 0.500 0.500
Cs 0.197 0.000 0.757
Cs 0.551 0.000 0.000
Cs 0.803 0.500 0.257

8.
The following is a PBE calculation of an optimized crystal structure of CsPdPt2, from Alexandria.

- E above lowest polymorph (kJ/mol of formula units) = 201
- formation energy from the elements (eV/atom) = 0.837
- D(E_F) (states/eV/f.u.) = 7.9

Unit cell a=4.882 b=4.882 c=4.882 alpha=60.00 beta=60.00 gamma=60.00
Fractional positions:
Pt 0.750 0.750 0.750
Pt 0.250 0.250 0.250
Cs 0.500 0.500 0.500
Pd 0.000 0.000 0.000

9.
The following is a PBE calculation of an optimized crystal structure of CsPd2Pt, from Alexandria.

- E above lowest polymorph (kJ/mol of formula units) = 108
- formation energy from the elements (eV/atom) = 0.602
- D(E_F) (states/eV/f.u.) = 3.2

Unit cell a=4.887 b=4.887 c=4.887 alpha=60.00 beta=60.00 gamma=60.00
Fractional positions:
Pd 0.750 0.750 0.750
Pd 0.250 0.250 0.250
Pt 0.500 0.500 0.500
Cs 0.000 0.000 0.000

10.
The following is a PBE calculation of an optimized crystal structure of Cs2Pd2Pt, from Alexandria.

- E above lowest polymorph (kJ/mol of formula units) = 134
- formation energy from the elements (eV/atom) = 0.172
- D(E_F) (states/eV/f.u.) = 3.7

Unit cell a=6.957 b=6.957 c=5.700 alpha=90.00 beta=90.00 gamma=90.00
Fractional positions:
Pd 0.365 0.865 0.000
Pd 0.635 0.135 0.000
Pd 0.865 0.635 0.000
Pd 0.135 0.365 0.000
Cs 0.186 0.686 0.500
Cs 0.686 0.814 0.500
Cs 0.314 0.186 0.500
Cs 0.814 0.314 0.500
Pt 0.500 0.500 0.000
Pt 0.000 0.000 0.000

11.
The following is a PBE calculation of an optimized crystal structure of CsPd2Pt2, from Alexandria.

- E above lowest polymorph (kJ/mol of formula units) = 14
- formation energy from the elements (eV/atom) = 0.306
- D(E_F) (states/eV/f.u.) = 6.9

Unit cell a=4.658 b=4.658 c=6.161 alpha=67.79 beta=67.79 gamma=90.00
Fractional positions:
Pd 0.250 0.750 0.500
Pd 0.750 0.250 0.500
Pt 0.623 0.623 0.754
Pt 0.377 0.377 0.246
Cs 0.000 0.000 0.000

12.
The following is a PBE calculation of an optimized crystal structure of Cs2PdPt, from Alexandria.

- E above lowest polymorph (kJ/mol of formula units) = 0
- formation energy from the elements (eV/atom) = -0.027
- D(E_F) (states/eV/f.u.) = 0.9

Unit cell a=4.560 b=4.560 c=9.709 alpha=76.45 beta=76.42 gamma=60.00
Fractional positions:
Pd 0.469 0.233 0.829
Cs 0.886 0.648 0.580
Cs 0.720 0.482 0.079
Pt 0.136 0.899 0.829

13.
The following is a PBE calculation of an optimized crystal structure of Cs2PdPtS4, from Alexandria.

- D(E_F) (states/eV/f.u.) = 2.2
- ΔE_f (raw) (eV/atom) = -0.498

Unit cell a=6.059 b=7.532 c=12.354 alpha=84.34 beta=75.81 gamma=66.28
Fractional positions:
S 0.885 0.821 0.893
S 0.599 0.179 0.107
S 0.151 0.321 0.393
S 0.529 0.321 0.607
S 0.865 0.679 0.607
S 0.221 0.179 0.893
S 0.456 0.679 0.393
S 0.294 0.821 0.107
Cs 0.570 0.500 0.860
Cs 0.820 0.000 0.360
Cs 0.180 0.000 0.640
Cs 0.930 0.500 0.140
Pt 0.500 0.000 0.000
Pt 0.250 0.500 0.500
Pd 0.750 0.500 0.500
Pd 0.000 0.000 0.000

14.
The following is a PBE calculation of an optimized crystal structure of CsPdPtS2, from Alexandria.

- D(E_F) (states/eV/f.u.) = 2.3
- ΔE_f (raw) (eV/atom) = -0.477

Unit cell a=4.781 b=7.174 c=8.490 alpha=114.99 beta=90.00 gamma=90.00
Fractional positions:
Cs 0.141 0.750 0.500
Cs 0.859 0.250 0.500
Pt 0.500 0.250 0.000
Pt 0.500 0.750 0.000
S 0.615 0.906 0.811
S 0.385 0.406 0.811
S 0.615 0.594 0.189
S 0.385 0.094 0.189
Pd 0.000 0.500 0.000
Pd 0.000 0.000 0.000

15.
The following is a PBE calculation of an optimized crystal structure of Cs2Sb2PdPt, from Alexandria.

- D(E_F) (states/eV/f.u.) = 5.1
- ΔE_f (raw) (eV/atom) = -0.423

Unit cell a=6.859 b=6.939 c=9.981 alpha=110.34 beta=110.10 gamma=90.00
Fractional positions:
Pt 0.500 0.250 0.000
Pt 0.500 0.750 0.000
Cs 0.586 0.833 0.665
Cs 0.079 0.333 0.665
Cs 0.921 0.667 0.335
Cs 0.414 0.167 0.335
Sb 0.322 0.567 0.133
Sb 0.678 0.433 0.867
Sb 0.812 0.067 0.133
Sb 0.188 0.933 0.867
Pd 0.000 0.250 0.000
Pd 0.000 0.750 0.000

16.
The following is a PBE calculation of an optimized crystal structure of Cs2PdPtSe4, from Alexandria.

- D(E_F) (states/eV/f.u.) = 3.2
- ΔE_f (raw) (eV/atom) = -0.534

Unit cell a=6.254 b=7.717 c=12.607 alpha=84.23 beta=75.64 gamma=66.10
Fractional positions:
Se 0.605 0.181 0.115
Se 0.902 0.819 0.885
Se 0.213 0.181 0.885
Se 0.848 0.681 0.615
Se 0.145 0.319 0.385
Se 0.279 0.819 0.115
Se 0.471 0.681 0.385
Se 0.537 0.319 0.615
Cs 0.566 0.500 0.868
Cs 0.184 0.000 0.632
Cs 0.934 0.500 0.132
Cs 0.816 0.000 0.368
Pd 0.250 0.500 0.500
Pd 0.500 0.000 0.000
Pt 0.750 0.500 0.500
Pt 0.000 0.000 0.000

17.
The following is a PBE calculation of an optimized crystal structure of Cs2SrPdPt, from Alexandria.

- formation energy from the elements (eV/atom) = 0.287
- D(E_F) (states/eV/f.u.) = 1.0

Unit cell a=6.027 b=5.886 c=6.027 alpha=90.00 beta=90.00 gamma=90.00
Fractional positions:
Sr 0.000 0.500 0.000
Pd 0.000 0.000 0.000
Cs 0.000 0.000 0.500
Cs 0.500 0.000 0.000
Pt 0.500 0.500 0.500

18.
The following is a PBE calculation of an optimized crystal structure of Cs2Tl4PdPt2, from Alexandria.

- formation energy from the elements (eV/atom) = -0.132
- D(E_F) (states/eV/f.u.) = 5.9

Unit cell a=4.468 b=8.220 c=9.597 alpha=115.80 beta=103.46 gamma=90.00
Fractional positions:
Tl 0.462 0.163 0.924
Tl 0.171 0.155 0.343
Tl 0.829 0.845 0.657
Tl 0.538 0.837 0.076
Cs 0.868 0.429 0.737
Cs 0.132 0.571 0.263
Pt 0.706 0.978 0.412
Pt 0.294 0.022 0.588
Pd 0.000 0.000 0.000

19.
The following is a PBE calculation of an optimized crystal structure of CsTl3PdPt, from Alexandria.

- formation energy from the elements (eV/atom) = -0.133
- D(E_F) (states/eV/f.u.) = 2.6

Unit cell a=4.470 b=9.583 c=9.185 alpha=90.46 beta=90.06 gamma=103.07
Fractional positions:
Tl 0.150 0.299 0.712
Tl 0.786 0.570 0.645
Tl 0.512 0.032 0.675
Tl 0.850 0.701 0.288
Tl 0.214 0.430 0.355
Tl 0.488 0.968 0.325
Pd 0.932 0.871 0.574
Pd 0.068 0.129 0.426
Cs 0.635 0.266 0.062
Cs 0.365 0.734 0.938
Pt 0.648 0.295 0.499
Pt 0.352 0.705 0.501

20.
The following is a PBE calculation of an optimized crystal structure of CsTl2PdPt, from Alexandria.

- formation energy from the elements (eV/atom) = 0.066
- D(E_F) (states/eV/f.u.) = 3.5

Unit cell a=5.321 b=5.321 c=5.539 alpha=90.00 beta=90.00 gamma=90.00
Fractional positions:
Tl 0.500 0.000 0.000
Tl 0.000 0.500 0.000
Pt 0.000 0.000 0.000
Cs 0.500 0.500 0.500
Pd 0.000 0.000 0.500

21.
The following is a PBE calculation of an optimized crystal structure of Cs2PuPd2S4, from Alexandria.

- D(E_F) (states/eV/f.u.) = 8.1
- ΔE_f (raw) (eV/atom) = -1.006

Unit cell a=4.101 b=7.741 c=8.087 alpha=107.05 beta=90.00 gamma=105.36
Fractional positions:
S 0.517 0.033 0.789
S 0.483 0.967 0.211
S 0.813 0.625 0.847
S 0.187 0.375 0.153
Pd 0.316 0.632 0.002
Pd 0.684 0.368 0.998
Pu 0.000 0.000 0.000
Cs 0.137 0.274 0.568
Cs 0.863 0.726 0.432

22.
The following is a PBE calculation of an optimized crystal structure of CsPuPdS3, from Alexandria.

- D(E_F) (states/eV/f.u.) = 8.5
- ΔE_f (raw) (eV/atom) = -1.170

Unit cell a=4.114 b=9.140 c=9.776 alpha=111.35 beta=90.00 gamma=90.00
Fractional positions:
S 0.750 0.476 0.146
S 0.250 0.139 0.863
S 0.250 0.524 0.854
S 0.750 0.861 0.137
S 0.750 0.201 0.557
S 0.250 0.799 0.443
Cs 0.750 0.789 0.750
Cs 0.250 0.211 0.250
Pd 0.250 0.087 0.590
Pd 0.750 0.913 0.410
Pu 0.250 0.678 0.150
Pu 0.750 0.322 0.850

23.
The following is a PBE calculation of an optimized crystal structure of Cs12Rb5Pd2, from Alexandria.

- formation energy from the elements (eV/atom) = 0.041
- D(E_F) (states/eV/f.u.) = 16.4

Unit cell a=14.864 b=14.864 c=12.500 alpha=82.17 beta=82.17 gamma=41.17
Fractional positions:
Cs 0.049 0.049 0.841
Cs 0.095 0.591 0.496
Cs 0.541 0.541 0.820
Cs 0.358 0.856 0.112
Cs 0.905 0.409 0.504
Cs 0.642 0.144 0.888
Cs 0.591 0.095 0.496
Cs 0.951 0.951 0.159
Cs 0.459 0.459 0.180
Cs 0.856 0.358 0.112
Cs 0.409 0.905 0.504
Cs 0.144 0.642 0.888
Pd 0.745 0.255 0.000
Pd 0.255 0.745 0.000
Rb 0.765 0.765 0.187
Rb 0.734 0.734 0.812
Rb 0.000 0.000 0.500
Rb 0.235 0.235 0.813
Rb 0.266 0.266 0.188